This record from the Alexandria database describes a geometry-optimized Ac3Ce2NbN6 structure. The functional is PBE.

Cell: 6.1917 10.7291 6.4018 Å, 90.00 108.55 90.00°
With the nearest neighbours (Å) after each atom.
Space group C2/m (No. 12)
One atom of each set of equivalent atoms:
Ac1 0.0000 0.0000 0.0000 x2  6 N 2.71-2.84
Ac2 0.0000 0.3352 0.0000 x4  6 N 2.66-2.90
Ce1 0.0000 0.1670 0.5000 x4  6 N 2.46-2.49
Nb1 0.0000 0.5000 0.5000 x2  6 N 2.25-2.28
N1 0.2199 0.3466 0.6982 x8  1 Nb 2.25, 2 Ce 2.46-2.47
N2 0.2388 0.5000 0.2929 x4  1 Nb 2.28, 2 Ce 2.49

Final energy in eV per cell: -196.4
Formation energy from raw total energies in meV per atom: -1165.6